A geometry-optimized PuZn3Rh4 structure. Source: Alexandria, functional GGA-PBE.

Cell: 4.398 4.398 6.317 Å, 90.00 90.00 90.00°
Space group P4/mmm (No. 123)
One atom of each set of equivalent atoms:
Pu1 0.000 0.000 0.000
Zn1 0.000 0.000 0.500
Zn2 0.500 0.500 0.000
Zn3 0.500 0.500 0.500
Rh1 0.000 0.500 0.264

Results
ρ, g/cm³: 11.6



A geometry-optimized Pu2Zn15Rh2 structure. Source: Alexandria, functional GGA-PBE.

Cell: 9.0564 9.0564 12.9143 Å, 90.00 90.00 120.00°
Space group R-3m (No. 166, hexagonal axes)
One atom of each set of equivalent atoms:
Pu1 0.0000 0.0000 0.1654
Zn1 0.0000 0.2824 0.5000
Zn2 0.0000 0.5000 0.0000
Zn3 0.0033 0.5017 0.6482
Rh1 0.0000 0.0000 0.3849

Results
ρ, g/cm³: 9.1



A geometry-optimized Pu2ZnRh3 structure. Source: Alexandria, functional GGA-PBE.

Cell: 4.514 5.286 9.607 Å, 90.00 90.00 90.00°
Space group Immm (No. 71)
One atom of each set of equivalent atoms:
Pu1 0.000 0.000 0.180
Zn1 0.000 0.000 0.500
Rh1 0.000 0.500 0.140
Rh2 0.000 0.500 0.500

Results
ρ, g/cm³: 12.5



Formation energy? In order: -0.448 -0.203 -0.292 eV per atom.